1.
First-principles (PBE) data for a relaxed structure of TmTh3Se4, as listed in Alexandria via LeMat-Bulk.

Summary:
Fermi-level density of states = 0.584 states/eV per atom
Raw total energy = -106.309 eV per cell
Energy relative to the elements, uncorrected = -1.561 eV/atom
Density = 9.620 Mg/m³

Cell lengths 7.2301, 8.5080, 7.0762 Å; angles 90.00, 110.52, 90.00 degrees
Closest atoms and distances in Å follow each position.
Space group P2/c (No. 13)
Unique sites:
Tm1 0.0000 0.1229 0.2500  6 Se 2.86
Th1 0.0000 0.3758 0.7500  6 Se 2.94-2.96
Th2 0.5000 0.1256 0.7500  6 Se 2.94-3.02
Th3 0.5000 0.3778 0.2500  6 Se 2.94-3.04
Se1 0.2371 0.1188 0.0009  2 Tm 2.86, 4 Th 2.95-3.04
Se2 0.2412 0.3663 0.4914  1 Tm 2.86, 5 Th 2.94-3.03


2.
First-principles (PBE) data for a relaxed structure of Nd4Cd2Sb, as listed in Alexandria via LeMat-Bulk.

Summary:
Fermi-level density of states = 1.347 states/eV per atom
Raw total energy = -81.747 eV per cell
Energy relative to the elements, uncorrected = -0.318 eV/atom
Density = 6.945 Mg/m³

Cell lengths 5.3608, 5.3608, 26.6175 Å; angles 90.00, 90.00, 120.00 degrees
Closest atoms and distances in Å follow each position.
Space group R-3m (No. 166, hexagonal axes)
Unique sites:
Nd1 0.0000 0.0000 0.1219  4 Cd 3.30-3.52, 3 Sb 3.32
Nd2 0.0000 0.0000 0.3731  4 Cd 3.16-3.27, 1 Sb 3.38
Cd1 0.0000 0.0000 0.2543  8 Nd 3.16-3.52
Sb1 0.0000 0.0000 0.5000  8 Nd 3.32-3.38


Question: Number 1 is which compound?
Answer: TmTh3Se4


Repeat the second record exactly.
First-principles (PBE) data for a relaxed structure of Nd4Cd2Sb, as listed in Alexandria via LeMat-Bulk.

Summary:
Fermi-level density of states = 1.347 states/eV per atom
Raw total energy = -81.747 eV per cell
Energy relative to the elements, uncorrected = -0.318 eV/atom
Density = 6.945 Mg/m³

Cell lengths 5.3608, 5.3608, 26.6175 Å; angles 90.00, 90.00, 120.00 degrees
Closest atoms and distances in Å follow each position.
Space group R-3m (No. 166, hexagonal axes)
Unique sites:
Nd1 0.0000 0.0000 0.1219  4 Cd 3.30-3.52, 3 Sb 3.32
Nd2 0.0000 0.0000 0.3731  4 Cd 3.16-3.27, 1 Sb 3.38
Cd1 0.0000 0.0000 0.2543  8 Nd 3.16-3.52
Sb1 0.0000 0.0000 0.5000  8 Nd 3.32-3.38


Question: Which formula does entry 1 have?
Answer: TmTh3Se4


Question: Number 1 is which compound?
Answer: TmTh3Se4